[1]
Material: SrTbEu2
Method: DFT, PBE
State: relaxed

## Properties
Symmetry: R-3m
Energy above the lowest structure with this stoichiometry (meV per atom): 7.1
Formation energy (meV/atom): 96

Unit cell a=12.993 b=12.993 c=12.993 alpha=17.13 beta=17.13 gamma=17.13
Atoms (fractional coordinates):
Sr 0.000 0.000 0.000
Tb 0.500 0.500 0.500
Eu 0.244 0.244 0.244
Eu 0.756 0.756 0.756

---

[2]
Material: LiCePaSe3
Method: DFT, PBE
State: relaxed

## Properties
Symmetry: P2_1/m

Unit cell a=8.567 b=3.954 c=8.846 alpha=90.00 beta=105.08 gamma=90.00
Atoms (fractional coordinates):
Li 0.086 0.250 0.086
Li 0.914 0.750 0.914
Ce 0.187 0.250 0.723
Ce 0.813 0.750 0.277
Pa 0.347 0.750 0.357
Pa 0.653 0.250 0.643
Se 0.097 0.250 0.368
Se 0.221 0.750 0.007
Se 0.434 0.750 0.701
Se 0.566 0.250 0.299
Se 0.779 0.250 0.993
Se 0.903 0.750 0.632

---

[3]
Material: Dy2CoBr
Method: DFT, PBE
State: relaxed

## Properties
Symmetry: R3m
Energy above the lowest structure with this stoichiometry (meV per atom): 16.0

Unit cell a=7.952 b=7.952 c=7.952 alpha=28.09 beta=28.09 gamma=28.09
Atoms (fractional coordinates):
Dy 0.000 0.000 0.000
Dy 0.208 0.208 0.208
Co 0.604 0.604 0.604
Br 0.435 0.435 0.435

---

[4]
Material: CoMoPt
Method: DFT, PBE
State: relaxed

## Properties
Symmetry: P-6m2
Energy above the lowest structure with this stoichiometry (meV per atom): 121.4
Formation energy (meV/atom): -45

Unit cell a=4.229 b=4.229 c=2.721 alpha=90.00 beta=90.00 gamma=120.00
Atoms (fractional coordinates):
Co 0.000 0.000 0.000
Mo 0.667 0.333 0.000
Pt 0.333 0.667 0.500

---

[5]
Material: Cs2LaMg2S4
Method: DFT, PBE
State: relaxed

## Properties
Symmetry: C2/m

Unit cell a=8.365 b=8.365 c=8.367 alpha=107.95 beta=107.95 gamma=28.87
Atoms (fractional coordinates):
Cs 0.126 0.126 0.035
Cs 0.874 0.874 0.965
La 0.000 0.000 0.500
Mg 0.327 0.327 0.525
Mg 0.673 0.673 0.475
S 0.202 0.202 0.647
S 0.471 0.471 0.730
S 0.529 0.529 0.270
S 0.798 0.798 0.353

---

[6]
Material: Ac3Nd4Dy
Method: DFT, PBE
State: relaxed

## Properties
Symmetry: Pmmn
Formation energy (meV/atom): 37

Unit cell a=5.354 b=10.684 c=10.680 alpha=90.00 beta=90.00 gamma=90.00
Atoms (fractional coordinates):
Ac 0.250 0.005 0.132
Ac 0.250 0.250 0.869
Ac 0.250 0.495 0.132
Ac 0.750 0.505 0.868
Ac 0.750 0.750 0.131
Ac 0.750 0.995 0.868
Nd 0.250 0.250 0.380
Nd 0.250 0.504 0.618
Nd 0.250 0.750 0.384
Nd 0.250 0.996 0.618
Nd 0.750 0.004 0.382
Nd 0.750 0.250 0.616
Nd 0.750 0.496 0.382
Nd 0.750 0.750 0.620
Dy 0.250 0.750 0.864
Dy 0.750 0.250 0.136

---

[7]
Material: Ca3Pr5Tm12
Method: DFT, PBE
State: relaxed

## Properties
Symmetry: Ia-3d
Formation energy (meV/atom): 1052

Unit cell a=16.347 b=16.347 c=16.347 alpha=109.47 beta=109.47 gamma=109.47
Atoms (fractional coordinates):
Ca 0.125 0.250 0.375
Ca 0.125 0.375 0.750
Ca 0.250 0.375 0.125
Ca 0.250 0.875 0.625
Ca 0.375 0.125 0.250
Ca 0.375 0.750 0.125
Ca 0.625 0.250 0.875
Ca 0.625 0.875 0.750
Ca 0.750 0.125 0.375
Ca 0.750 0.625 0.875
Ca 0.875 0.625 0.250
Ca 0.875 0.750 0.625
Pr 0.000 0.000 0.000
Pr 0.000 0.000 0.500
Pr 0.000 0.500 0.000
Pr 0.000 0.500 0.500
Pr 0.125 0.750 0.875
Pr 0.125 0.875 0.250
Pr 0.250 0.125 0.875
Pr 0.250 0.625 0.375
Pr 0.375 0.250 0.625
Pr 0.375 0.625 0.750
Pr 0.500 0.000 0.000
Pr 0.500 0.000 0.500
Pr 0.500 0.500 0.000
Pr 0.500 0.500 0.500
Pr 0.625 0.375 0.250
Pr 0.625 0.750 0.375
Pr 0.750 0.375 0.625
Pr 0.750 0.875 0.125
Pr 0.875 0.125 0.750
Pr 0.875 0.250 0.125
Tm 0.069 0.643 0.419
Tm 0.069 0.926 0.650
Tm 0.074 0.224 0.143
Tm 0.074 0.350 0.931
Tm 0.081 0.724 0.650
Tm 0.081 0.857 0.431
Tm 0.143 0.074 0.224
Tm 0.143 0.569 0.919
Tm 0.150 0.224 0.581
Tm 0.150 0.426 0.569
Tm 0.224 0.143 0.074
Tm 0.224 0.581 0.150
Tm 0.276 0.350 0.919
Tm 0.276 0.426 0.357
Tm 0.350 0.919 0.276
Tm 0.350 0.931 0.074
Tm 0.357 0.276 0.426
Tm 0.357 0.581 0.931
Tm 0.419 0.069 0.643
Tm 0.419 0.850 0.776
Tm 0.426 0.357 0.276
Tm 0.426 0.569 0.150
Tm 0.431 0.081 0.857
Tm 0.431 0.850 0.574
Tm 0.569 0.150 0.426
Tm 0.569 0.919 0.143
Tm 0.574 0.431 0.850
Tm 0.574 0.643 0.724
Tm 0.581 0.150 0.224
Tm 0.581 0.931 0.357
Tm 0.643 0.419 0.069
Tm 0.643 0.724 0.574
Tm 0.650 0.069 0.926
Tm 0.650 0.081 0.724
Tm 0.724 0.574 0.643
Tm 0.724 0.650 0.081
Tm 0.776 0.419 0.850
Tm 0.776 0.857 0.926
Tm 0.850 0.574 0.431
Tm 0.850 0.776 0.419
Tm 0.857 0.431 0.081
Tm 0.857 0.926 0.776
Tm 0.919 0.143 0.569
Tm 0.919 0.276 0.350
Tm 0.926 0.650 0.069
Tm 0.926 0.776 0.857
Tm 0.931 0.074 0.350
Tm 0.931 0.357 0.581

---

[8]
Material: AcPuMg2Hg4
Method: DFT, PBE
State: relaxed

## Properties
Symmetry: R-3m
Formation energy (meV/atom): -323

Unit cell a=9.310 b=9.310 c=9.310 alpha=32.54 beta=32.54 gamma=32.54
Atoms (fractional coordinates):
Ac 0.000 0.000 0.000
Pu 0.500 0.500 0.500
Mg 0.245 0.245 0.245
Mg 0.755 0.755 0.755
Hg 0.127 0.127 0.127
Hg 0.383 0.383 0.383
Hg 0.617 0.617 0.617
Hg 0.873 0.873 0.873

---

[9]
Material: KTe2Se2
Method: DFT, PBE
State: relaxed

## Properties
Symmetry: C2/c
Energy above the lowest structure with this stoichiometry (meV per atom): 35.3

Unit cell a=8.988 b=8.988 c=6.814 alpha=104.71 beta=104.71 gamma=122.19
Atoms (fractional coordinates):
K 0.123 0.877 0.750
K 0.877 0.123 0.250
Te 0.177 0.500 0.005
Te 0.500 0.177 0.505
Te 0.500 0.823 0.495
Te 0.823 0.500 0.995
Se 0.097 0.903 0.250
Se 0.334 0.666 0.750
Se 0.666 0.334 0.250
Se 0.903 0.097 0.750

---

[10]
Material: Ac8Cd2Au
Method: DFT, PBE
State: relaxed

## Properties
Symmetry: C2/m
Formation energy (meV/atom): -199

Unit cell a=10.460 b=10.460 c=7.567 alpha=101.97 beta=101.97 gamma=31.45
Atoms (fractional coordinates):
Ac 0.021 0.021 0.272
Ac 0.205 0.205 0.813
Ac 0.344 0.344 0.531
Ac 0.409 0.409 0.049
Ac 0.591 0.591 0.951
Ac 0.656 0.656 0.469
Ac 0.795 0.795 0.187
Ac 0.979 0.979 0.728
Cd 0.187 0.187 0.240
Cd 0.813 0.813 0.760
Au 0.500 0.500 0.500

---

[11]
Material: CeMg2CdHg2
Method: DFT, PBE
State: relaxed

## Properties
Symmetry: P-3m1
Formation energy (meV/atom): -280

Unit cell a=4.923 b=4.923 c=6.797 alpha=90.00 beta=90.00 gamma=120.00
Atoms (fractional coordinates):
Ce 0.000 0.000 0.000
Mg 0.333 0.667 0.680
Mg 0.667 0.333 0.320
Cd 0.000 0.000 0.500
Hg 0.333 0.667 0.220
Hg 0.667 0.333 0.780

---

[12]
Material: Cr2SbMoN
Method: DFT, PBE
State: relaxed

## Properties
Symmetry: P4/mmm

Unit cell a=3.979 b=3.979 c=4.195 alpha=90.00 beta=90.00 gamma=90.00
Atoms (fractional coordinates):
Cr 0.000 0.500 0.000
Cr 0.500 0.000 0.000
Sb 0.000 0.000 0.500
Mo 0.500 0.500 0.500
N 0.500 0.500 0.000

---

[13]
Material: CeAuO
Method: DFT, PBE
State: relaxed

## Properties
Symmetry: I4/mmm
Energy above the lowest structure with this stoichiometry (meV per atom): 382.3

Unit cell a=8.369 b=8.369 c=8.369 alpha=153.87 beta=153.87 gamma=37.29
Atoms (fractional coordinates):
Ce 0.091 0.091 0.000
Ce 0.909 0.909 0.000
Au 0.294 0.294 0.000
Au 0.706 0.706 0.000
O 0.000 0.500 0.500
O 0.500 0.000 0.500

---

[14]
Material: PuPtAu3
Method: DFT, PBE
State: relaxed

## Properties
Symmetry: R3c
Formation energy (meV/atom): -98

Unit cell a=6.594 b=6.594 c=6.594 alpha=65.83 beta=65.83 gamma=65.83
Atoms (fractional coordinates):
Pu 0.000 0.000 0.000
Pu 0.500 0.500 0.500
Pt 0.324 0.324 0.324
Pt 0.824 0.824 0.824
Au 0.121 0.986 0.434
Au 0.434 0.121 0.986
Au 0.486 0.621 0.934
Au 0.621 0.934 0.486
Au 0.934 0.486 0.621
Au 0.986 0.434 0.121

---

[15]
Material: Ca2NiRu
Method: DFT, PBE
State: relaxed

## Properties
Symmetry: I-42d
Formation energy (meV/atom): 563

Unit cell a=6.109 b=6.109 c=6.109 alpha=102.70 beta=102.70 gamma=124.08
Atoms (fractional coordinates):
Ca 0.106 0.625 0.981
Ca 0.375 0.356 0.481
Ca 0.644 0.125 0.019
Ca 0.875 0.894 0.519
Ni 0.000 0.000 0.000
Ni 0.750 0.250 0.500
Ru 0.250 0.750 0.500
Ru 0.500 0.500 0.000

---

[16]
Material: La2YRu
Method: DFT, PBE
State: relaxed

## Properties
Symmetry: P2/m
Energy above the lowest structure with this stoichiometry (meV per atom): 194.1
Formation energy (meV/atom): -49

Unit cell a=4.638 b=4.016 c=6.567 alpha=90.00 beta=105.59 gamma=90.00
Atoms (fractional coordinates):
La 0.127 0.000 0.303
La 0.873 0.000 0.697
Y 0.500 0.500 0.000
Ru 0.500 0.500 0.500

---

[17]
Material: SrAu
Method: DFT, PBE
State: relaxed

## Properties
Symmetry: P-6m2
Formation energy (meV/atom): -631

Unit cell a=4.333 b=4.333 c=4.051 alpha=90.00 beta=90.00 gamma=120.00
Atoms (fractional coordinates):
Sr 0.000 0.000 0.000
Au 0.333 0.667 0.500

---

[18]
Material: CaSn2Sb2
Method: DFT, PBE
State: relaxed

## Properties
Symmetry: P4/mbm

Unit cell a=8.421 b=8.421 c=4.115 alpha=90.00 beta=90.00 gamma=90.00
Atoms (fractional coordinates):
Ca 0.000 0.000 0.000
Ca 0.500 0.500 0.000
Sn 0.128 0.372 0.000
Sn 0.372 0.872 0.000
Sn 0.628 0.128 0.000
Sn 0.872 0.628 0.000
Sb 0.179 0.679 0.500
Sb 0.321 0.179 0.500
Sb 0.679 0.821 0.500
Sb 0.821 0.321 0.500

---

[19]
Material: MnAl2Br
Method: DFT, PBE
State: relaxed

## Properties
Symmetry: Fm-3m
Energy above the lowest structure with this stoichiometry (meV per atom): 849.0

Unit cell a=4.517 b=4.517 c=4.517 alpha=60.00 beta=60.00 gamma=60.00
Atoms (fractional coordinates):
Mn 0.000 0.000 0.000
Al 0.250 0.250 0.250
Al 0.750 0.750 0.750
Br 0.500 0.500 0.500

---

[20]
Material: BSbIO2
Method: DFT, PBE
State: relaxed

## Properties
Symmetry: P4/mmm
Energy above the lowest structure with this stoichiometry (meV per atom): 313.5

Unit cell a=4.052 b=4.052 c=4.488 alpha=90.00 beta=90.00 gamma=90.00
Atoms (fractional coordinates):
B 0.000 0.000 0.000
Sb 0.500 0.500 0.500
I 0.000 0.000 0.500
O 0.000 0.500 0.000
O 0.500 0.000 0.000

---

The energy results, record by record, are as follows: -0.4865, -0.4436, -0.3836, -0.5908, -0.3195, -0.3280, -0.2297, -0.2336, -0.2337, -0.2683, -0.1509, -0.6311, -0.4781, -0.4512, -0.3088, -0.4739, -0.2286, -0.2813, -0.2711, -0.2812 Ry/atom.